1.
Density functional theory data (PBE) for crystalline KHg2P2S7 at its relaxed geometry.

Computed properties:
Volume in Å³/cell: 395.7
Space-group type: R32
Energy relative to the elements, uncorrected in meV/atom: -217
Electronic total energy in eV per atom: -3.668
DOS at the Fermi energy in states/eV/f.u.: 4.1
Magnetization in μB per cell: 0.409

Unit cell a=11.5744 b=11.5744 c=11.5744 alpha=32.40 beta=32.40 gamma=32.40
With the nearest neighbours (Å) after each atom.
Atoms (fractional coordinates):
K  0.0000  0.0000  0.0000  6 S 3.29
Hg  0.2466  0.2466  0.2466  3 S 2.50
Hg  0.7534  0.7534  0.7534  3 S 2.50
P  0.4332  0.4332  0.4332  4 S 2.08-2.20
P  0.5668  0.5668  0.5668  4 S 2.08-2.20
S  0.1347  0.3659  0.7325  1 P 2.08
S  0.2675  0.6341  0.8653  1 P 2.08
S  0.3659  0.7325  0.1347  1 P 2.08
S  0.5000  0.5000  0.5000  2 P 2.20
S  0.6341  0.8653  0.2675  1 P 2.08
S  0.7325  0.1347  0.3659  1 P 2.08
S  0.8653  0.2675  0.6341  1 P 2.08

2.
Density functional theory data (PBE) for crystalline LiZr2Co2 at its relaxed geometry.

Computed properties:
Volume in Å³/cell: 169.1
Offset from the most stable computed form in meV/atom: 123
Space-group type: P4/mbm
Formation enthalpy at 0 K in meV per atom: -22
Electronic total energy in eV per atom: -6.667
DOS at the Fermi energy in states/eV/f.u.: 4.5
Magnetization in μB per cell: 0.000

Unit cell a=7.5170 b=7.5170 c=2.9923 alpha=90.00 beta=90.00 gamma=90.00
With the nearest neighbours (Å) after each atom.
Atoms (fractional coordinates):
Li  0.0000  0.0000  0.0000  4 Zr 2.85, 2 Li 2.99
Li  0.5000  0.5000  0.0000  4 Zr 2.85, 2 Li 2.99
Zr  0.1520  0.3480  0.0000  6 Co 2.66, 2 Li 2.85
Zr  0.3480  0.8480  0.0000  6 Co 2.66, 2 Li 2.85
Zr  0.6520  0.1520  0.0000  6 Co 2.66, 2 Li 2.85
Zr  0.8480  0.6520  0.0000  6 Co 2.66, 2 Li 2.85
Co  0.1406  0.6406  0.5000  6 Zr 2.66
Co  0.3594  0.1406  0.5000  6 Zr 2.66
Co  0.6406  0.8594  0.5000  6 Zr 2.66
Co  0.8594  0.3594  0.5000  6 Zr 2.66

3.
Density functional theory data (PBE) for crystalline CoCl at its relaxed geometry.

Computed properties:
Volume in Å³/cell: 146.9
Space-group type: Fddd
Energy relative to the elements, uncorrected in meV/atom: 3
Electronic total energy in eV per atom: -4.473
DOS at the Fermi energy in states/eV/f.u.: 1.0
Magnetization in μB per cell: 8.000

Unit cell a=6.7340 b=6.6653 c=5.1019 alpha=68.33 beta=66.91 gamma=44.76
With the nearest neighbours (Å) after each atom.
Atoms (fractional coordinates):
Co  0.0209  0.0209  0.2291  4 Cl 2.29-2.42, 1 Co 2.35
Co  0.2291  0.2291  0.0209  4 Cl 2.29-2.42, 1 Co 2.35
Co  0.7709  0.7709  0.9791  4 Cl 2.29-2.42, 1 Co 2.35
Co  0.9791  0.9791  0.7709  4 Cl 2.29-2.42, 1 Co 2.35
Cl  0.1426  0.6074  0.1426  4 Co 2.29-2.42
Cl  0.3926  0.8574  0.3926  4 Co 2.29-2.42
Cl  0.6074  0.1426  0.6074  4 Co 2.29-2.42
Cl  0.8574  0.3926  0.8574  4 Co 2.29-2.42